A plane-wave DFT calculation with PBE was carried out for LiCa2P after structural relaxation.

a b c (Å): 6.070 6.070 6.070
angles (deg): 138.70 138.70 59.84
Atoms (fractional coordinates):
Li 0.000 0.000 0.000
Ca 0.500 0.500 0.000
Ca 0.750 0.250 0.500
P 0.250 0.750 0.500

Computed properties:
As for the density of states at the Fermi level: 0.870 states/eV per atom. The formation enthalpy at 0 K comes out at -319 meV per atom. Its total magnetization is 0.270 μB/atom.

***

A plane-wave DFT calculation with PBE was carried out for RbZrSiRh2 after structural relaxation.

a b c (Å): 4.698 4.698 5.154
angles (deg): 90.00 90.00 90.00
Atoms (fractional coordinates):
Rb 0.000 0.000 0.000
Zr 0.000 0.000 0.500
Si 0.500 0.500 0.500
Rh 0.000 0.500 0.000
Rh 0.500 0.000 0.000

Computed properties:
As for the density of states at the Fermi level: 1.215 states/eV per atom. Its total magnetization is 0.000 μB/atom. The uncorrected formation energy is 2.1804 eV/atom.

***

Please write out number 1 again, unchanged.
A plane-wave DFT calculation with PBE was carried out for LiCa2P after structural relaxation.

a b c (Å): 6.070 6.070 6.070
angles (deg): 138.70 138.70 59.84
Atoms (fractional coordinates):
Li 0.000 0.000 0.000
Ca 0.500 0.500 0.000
Ca 0.750 0.250 0.500
P 0.250 0.750 0.500

Computed properties:
As for the density of states at the Fermi level: 0.870 states/eV per atom. The formation enthalpy at 0 K comes out at -319 meV per atom. Its total magnetization is 0.270 μB/atom.

***

What is the total magnetization in the second record?
0.000 μB/atom

***

What is the total magnetization in the second record?
0.000 μB/atom